Entry 1:
VASP calculation (PBE-GGA) on a relaxed CsCu2MoBr8 crystal.

Its density is 4.05 Mg/m³. The calculation puts the volume at 407.9 Å³/cell. The value obtained for the density of states at the Fermi level is 6.98 states/eV per cell. The total energy comes out at -3.40 eV/atom.

Unit cell a=6.5283 b=6.5283 c=10.4704 alpha=82.97 beta=82.97 gamma=67.54
Last column: magnetic moment on the atom in μB.
Element x y z (fractional)
Cs 0.0000 0.0000 0.5000  0.00
Cu 0.6276 0.6276 0.1965  -0.15
Cu 0.3724 0.3724 0.8035  -0.15
Mo 0.0000 0.0000 0.0000  1.27
Br 0.7818 0.2721 0.8243  -0.01
Br 0.7670 0.7670 0.9952  -0.03
Br 0.6776 0.6776 0.4043  -0.05
Br 0.3224 0.3224 0.5957  -0.05
Br 0.2330 0.2330 0.0048  -0.03
Br 0.2721 0.7818 0.8243  -0.01
Br 0.7279 0.2182 0.1757  -0.01
Br 0.2182 0.7279 0.1757  -0.01

***

Entry 2:
VASP calculation (PBE-GGA) on a relaxed Cs2NaCu2Br6 crystal.

Its density is 3.63 Mg/m³. The calculation puts the volume at 409.5 Å³/cell. The value obtained for the density of states at the Fermi level is 4.90 states/eV per cell. The total energy comes out at -3.01 eV/atom.

Unit cell a=7.5510 b=7.8879 c=8.8604 alpha=114.26 beta=90.00 gamma=118.60
Last column: magnetic moment on the atom in μB.
Element x y z (fractional)
Cs 0.7096 0.4192 0.2028  0.00
Cs 0.2904 0.5808 0.7972  0.00
Na 0.5000 0.0000 0.5000  0.00
Cu 0.9375 0.8750 0.7435  0.29
Cu 0.0625 0.1250 0.2565  0.29
Br 0.7504 0.5009 0.6517  0.04
Br 0.2064 0.9071 0.2109  0.07
Br 0.2993 0.0929 0.7891  0.07
Br 0.7936 0.0929 0.7891  0.07
Br 0.7007 0.9071 0.2109  0.07
Br 0.2496 0.4991 0.3483  0.04

***

Entry 3:
VASP calculation (PBE-GGA) on a relaxed Cs3NaCu2Br9 crystal.

Its density is 4.41 Mg/m³. The calculation puts the volume at 477.6 Å³/cell. The value obtained for the density of states at the Fermi level is 12.98 states/eV per cell. The total energy comes out at -2.81 eV/atom.

Unit cell a=7.6223 b=7.6223 c=9.4915 alpha=90.00 beta=90.00 gamma=120.00
Element x y z (fractional)
Cs 0.3333 0.6667 0.6623
Cs 0.0000 0.0000 0.0000
Cs 0.6667 0.3333 0.3377
Na 0.0000 0.0000 0.5000
Cu 0.3333 0.6667 0.1601
Cu 0.6667 0.3333 0.8399
Br 0.8250 0.1750 0.6906
Br 0.8250 0.6499 0.6906
Br 0.3501 0.1750 0.6906
Br 0.6499 0.8250 0.3094
Br 0.1750 0.3501 0.3094
Br 0.1750 0.8250 0.3094
Br 0.5000 0.0000 0.0000
Br 0.0000 0.5000 0.0000
Br 0.5000 0.5000 0.0000

***

Entry 4:
VASP calculation (PBE-GGA) on a relaxed Cs3NaCu2Br6 crystal.

Its density is 3.22 Mg/m³. The calculation puts the volume at 530.2 Å³/cell. The value obtained for the density of states at the Fermi level is 0.00 states/eV per cell. The total energy comes out at -3.05 eV/atom.

Unit cell a=8.0483 b=8.0483 c=9.4516 alpha=90.00 beta=90.00 gamma=120.00
Element x y z (fractional)
Cs 0.3333 0.6667 0.6566
Cs 0.6667 0.3333 0.3434
Cs 0.0000 0.0000 0.0000
Na 0.0000 0.0000 0.5000
Cu 0.6667 0.3333 0.7155
Cu 0.3333 0.6667 0.2845
Br 0.6715 0.8357 0.2956
Br 0.1643 0.3285 0.2956
Br 0.1643 0.8357 0.2956
Br 0.8357 0.6715 0.7044
Br 0.3285 0.1643 0.7044
Br 0.8357 0.1643 0.7044

***

Entry 5:
VASP calculation (PBE-GGA) on a relaxed CsNaCuBr3 crystal.

Its density is 3.46 Mg/m³. The calculation puts the volume at 441.2 Å³/cell. The value obtained for the density of states at the Fermi level is 0.00 states/eV per cell. The total energy comes out at -2.99 eV/atom.

Unit cell a=6.2868 b=8.1112 c=9.7404 alpha=104.26 beta=90.00 gamma=112.80
Element x y z (fractional)
Cs 0.3518 0.7036 0.9765
Cs 0.6482 0.2964 0.0235
Na 0.6259 0.2518 0.5993
Na 0.3741 0.7482 0.4007
Cu 0.0356 0.0711 0.2548
Cu 0.9644 0.9289 0.7452
Br 0.8825 0.7651 0.2599
Br 0.8175 0.6351 0.7808
Br 0.5404 0.0808 0.3057
Br 0.1825 0.3649 0.2192
Br 0.4596 0.9192 0.6943
Br 0.1175 0.2349 0.7401

***

Entry 6:
VASP calculation (PBE-GGA) on a relaxed CsNa3Cu4Br12 crystal.

Its density is 3.12 Mg/m³. The calculation puts the volume at 753.9 Å³/cell. The value obtained for the density of states at the Fermi level is 7.68 states/eV per cell. The total energy comes out at -2.81 eV/atom.

Unit cell a=9.2726 b=9.2726 c=9.2726 alpha=100.23 beta=100.23 gamma=100.23
Last column: magnetic moment on the atom in μB.
Element x y z (fractional)
Cs 0.0000 0.0000 0.0000  0.00
Na 0.5541 0.4459 0.0000  0.00
Na 0.4459 0.0000 0.5541  0.00
Na 0.0000 0.5541 0.4459  0.00
Cu 0.9368 0.0632 0.5000  0.30
Cu 0.0632 0.5000 0.9368  0.30
Cu 0.5000 0.9368 0.0632  0.30
Cu 0.5000 0.5000 0.5000  -0.19
Br 0.5000 0.3370 0.6630  -0.04
Br 0.8971 0.5000 0.1029  0.13
Br 0.1029 0.8971 0.5000  0.13
Br 0.5000 0.1029 0.8971  0.13
Br 0.3665 0.0187 0.2332  0.07
Br 0.2332 0.3665 0.0187  0.07
Br 0.0187 0.2332 0.3665  0.07
Br 0.6335 0.7668 0.9813  0.07
Br 0.9813 0.6335 0.7668  0.07
Br 0.7668 0.9813 0.6335  0.07
Br 0.6630 0.5000 0.3370  -0.04
Br 0.3370 0.6630 0.5000  -0.04

***

Entry 7:
VASP calculation (PBE-GGA) on a relaxed Cs2NaCu2Br7 crystal.

Its density is 4.27 Mg/m³. The calculation puts the volume at 379.6 Å³/cell. The value obtained for the density of states at the Fermi level is 3.05 states/eV per cell. The total energy comes out at -2.87 eV/atom.

Unit cell a=5.2707 b=5.2707 c=14.1635 alpha=79.26 beta=79.26 gamma=90.00
Element x y z (fractional)
Cs 0.8222 0.8222 0.3550
Cs 0.1778 0.1778 0.6450
Na 0.0000 0.0000 0.0000
Cu 0.5928 0.5928 0.8155
Cu 0.4072 0.4072 0.1845
Br 0.5000 0.5000 0.0000
Br 0.3150 0.3150 0.3692
Br 0.6850 0.6850 0.6308
Br 0.9164 0.4164 0.1666
Br 0.4164 0.9164 0.1666
Br 0.5836 0.0836 0.8334
Br 0.0836 0.5836 0.8334

***

Entry 8:
VASP calculation (PBE-GGA) on a relaxed CsNaCu2Br6 crystal.

Its density is 3.39 Mg/m³. The calculation puts the volume at 748.0 Å³/cell. The value obtained for the density of states at the Fermi level is 7.69 states/eV per cell. The total energy comes out at -2.83 eV/atom.

Unit cell a=9.8765 b=9.8765 c=8.8369 alpha=104.73 beta=104.73 gamma=106.53
Element x y z (fractional)
Cs 0.1487 0.8513 0.2500
Cs 0.8513 0.1487 0.7500
Na 0.5190 0.4810 0.2500
Na 0.4810 0.5190 0.7500
Cu 0.3832 0.1356 0.7410
Cu 0.8644 0.6168 0.7590
Cu 0.6168 0.8644 0.2590
Cu 0.1356 0.3832 0.2410
Br 0.9313 0.4504 0.2113
Br 0.5496 0.0687 0.2887
Br 0.0687 0.5496 0.7887
Br 0.4504 0.9313 0.7113
Br 0.2247 0.2095 0.1202
Br 0.7905 0.7753 0.3798
Br 0.7753 0.7905 0.8798
Br 0.2095 0.2247 0.6202
Br 0.3318 0.5969 0.4546
Br 0.4031 0.6682 0.0454
Br 0.6682 0.4031 0.5454
Br 0.5969 0.3318 0.9546

***

Entry 9:
VASP calculation (PBE-GGA) on a relaxed CsNaCu2Br4 crystal.

Its density is 3.45 Mg/m³. The calculation puts the volume at 290.1 Å³/cell. The value obtained for the density of states at the Fermi level is 0.00 states/eV per cell. The total energy comes out at -3.10 eV/atom.

Unit cell a=7.2233 b=7.2993 c=7.2993 alpha=73.23 beta=60.34 gamma=60.34
Element x y z (fractional)
Cs 0.0000 0.0000 0.0000
Na 0.5000 0.5000 0.5000
Cu 0.1424 0.3576 0.3576
Cu 0.8576 0.6424 0.6424
Br 0.4148 0.1581 0.4910
Br 0.0639 0.8419 0.5090
Br 0.9361 0.4910 0.1581
Br 0.5852 0.5090 0.8419

***

Entry 10:
VASP calculation (PBE-GGA) on a relaxed CsNaCuBr4 crystal.

Its density is 3.70 Mg/m³. The calculation puts the volume at 483.9 Å³/cell. The value obtained for the density of states at the Fermi level is 15.84 states/eV per cell. The total energy comes out at -2.91 eV/atom.

Unit cell a=7.1665 b=7.2969 c=9.7430 alpha=90.00 beta=108.25 gamma=90.00
Last column: magnetic moment on the atom in μB.
Element x y z (fractional)
Cs 0.7413 0.7500 0.9353  0.00
Cs 0.2587 0.2500 0.0647  0.00
Na 0.7627 0.7500 0.4417  0.00
Na 0.2373 0.2500 0.5583  0.00
Cu 0.2109 0.7500 0.3276  0.44
Cu 0.7891 0.2500 0.6724  0.44
Br 0.0178 0.5015 0.7134  0.13
Br 0.9822 0.0015 0.2866  0.13
Br 0.9822 0.4985 0.2866  0.13
Br 0.0178 0.9985 0.7134  0.13
Br 0.3972 0.7500 0.1562  0.07
Br 0.6028 0.2500 0.8438  0.07
Br 0.4388 0.7500 0.5661  0.10
Br 0.5612 0.2500 0.4339  0.10